1.
Computed, not measured: an optimized crystal structure of Tb7In2Ge2 at the PBE level of DFT.

Unit cell a=6.875 b=6.875 c=7.167 alpha=90.00 beta=90.00 gamma=106.01
Atoms (fractional coordinates):
Tb 0.000 0.000 0.000
Tb 0.000 0.500 0.269
Tb 0.000 0.500 0.731
Tb 0.500 0.000 0.269
Tb 0.500 0.000 0.731
Tb 0.500 0.500 0.253
Tb 0.500 0.500 0.747
In 0.174 0.174 0.500
In 0.826 0.826 0.500
Ge 0.281 0.719 0.000
Ge 0.719 0.281 0.000

---

2.
Computed, not measured: an optimized crystal structure of Tb2InGe2 at the PBE level of DFT.

Unit cell a=7.648 b=7.648 c=4.137 alpha=90.00 beta=90.00 gamma=150.50
Atoms (fractional coordinates):
Tb 0.136 0.864 0.000
Tb 0.864 0.136 0.000
In 0.500 0.500 0.500
Ge 0.305 0.695 0.500
Ge 0.695 0.305 0.500

Relative energy among the computed polymorphs, kJ/mol of atoms: 6.2

---

3.
Computed, not measured: an optimized crystal structure of Tb11In6Ge4 at the PBE level of DFT.

Unit cell a=11.570 b=11.570 c=11.570 alpha=119.95 beta=119.95 gamma=90.09
Atoms (fractional coordinates):
Tb 0.064 0.314 0.750
Tb 0.101 0.447 0.346
Tb 0.101 0.755 0.654
Tb 0.166 0.166 0.000
Tb 0.245 0.899 0.346
Tb 0.314 0.064 0.750
Tb 0.314 0.563 0.250
Tb 0.332 0.332 0.664
Tb 0.332 0.668 0.000
Tb 0.437 0.686 0.750
Tb 0.447 0.101 0.346
Tb 0.553 0.899 0.654
Tb 0.563 0.314 0.250
Tb 0.668 0.332 0.000
Tb 0.668 0.668 0.336
Tb 0.686 0.437 0.750
Tb 0.686 0.936 0.250
Tb 0.755 0.101 0.654
Tb 0.834 0.834 0.000
Tb 0.899 0.245 0.346
Tb 0.899 0.553 0.654
Tb 0.936 0.686 0.250
In 0.036 0.036 0.413
In 0.036 0.623 0.000
In 0.129 0.129 0.257
In 0.129 0.871 0.000
In 0.377 0.377 0.413
In 0.377 0.964 0.000
In 0.623 0.036 0.000
In 0.623 0.623 0.587
In 0.871 0.129 0.000
In 0.871 0.871 0.743
In 0.964 0.377 0.000
In 0.964 0.964 0.587
Ge 0.153 0.500 0.653
Ge 0.250 0.750 0.500
Ge 0.380 0.380 0.000
Ge 0.500 0.153 0.653
Ge 0.500 0.847 0.347
Ge 0.620 0.620 0.000
Ge 0.750 0.250 0.500
Ge 0.847 0.500 0.347

---

4.
Computed, not measured: an optimized crystal structure of Tb2InGe at the PBE level of DFT.

Unit cell a=8.616 b=8.616 c=8.616 alpha=26.43 beta=26.43 gamma=26.43
Atoms (fractional coordinates):
Tb 0.239 0.239 0.239
Tb 0.761 0.761 0.761
In 0.000 0.000 0.000
Ge 0.500 0.500 0.500

---

5.
Computed, not measured: an optimized crystal structure of Tb2InGe at the PBE level of DFT.

Unit cell a=3.811 b=3.811 c=6.837 alpha=90.00 beta=90.00 gamma=90.00
Atoms (fractional coordinates):
Tb 0.000 0.000 0.229
Tb 0.000 0.000 0.771
In 0.500 0.500 0.500
Ge 0.500 0.500 0.000

---

6.
Computed, not measured: an optimized crystal structure of Tb2InGe at the PBE level of DFT.

Unit cell a=4.157 b=6.020 c=6.020 alpha=43.47 beta=90.00 gamma=90.00
Atoms (fractional coordinates):
Tb 0.000 0.000 0.000
Tb 0.500 0.280 0.280
In 0.000 0.718 0.718
Ge 0.500 0.549 0.549

---

7.
Computed, not measured: an optimized crystal structure of Tb7InGe5 at the PBE level of DFT.

Unit cell a=7.987 b=7.987 c=7.987 alpha=136.03 beta=93.36 gamma=102.80
Atoms (fractional coordinates):
Tb 0.000 0.000 0.000
Tb 0.317 0.645 0.671
Tb 0.369 0.369 0.000
Tb 0.432 0.098 0.334
Tb 0.764 0.098 0.666
Tb 0.855 0.355 0.500
Tb 0.974 0.645 0.329
In 0.682 0.682 0.000
Ge 0.116 0.152 0.512
Ge 0.116 0.604 0.964
Ge 0.367 0.867 0.500
Ge 0.640 0.152 0.036
Ge 0.640 0.604 0.488

---

8.
Computed, not measured: an optimized crystal structure of Tb3InGe2 at the PBE level of DFT.

Unit cell a=8.459 b=8.459 c=8.459 alpha=150.30 beta=150.16 gamma=42.60
Atoms (fractional coordinates):
Tb 0.000 0.000 0.000
Tb 0.325 0.825 0.500
Tb 0.675 0.175 0.500
In 0.500 0.500 0.000
Ge 0.139 0.639 0.500
Ge 0.861 0.361 0.500

---

no.,electronic total energy (eV per atom),calculated formation energy (eV per atom)
1,-4.627,-0.343
2,-4.899,-0.652
3,-4.752,-0.665
4,-4.644,-0.489
5,-4.691,-0.537
6,-4.806,-0.652
7,-5.000,-0.520
8,-5.004,-0.693